A plane-wave DFT calculation with GGA+U was carried out for a relaxed structure of Zr6Co2O.

V: 170.7 Å³ per cell
E_tot: -7.853 eV per atom

Lattice parameters (Å, degrees): 5.879 5.879 9.331 89.94 89.94 31.96
Each line ends with the local moment (μB).
Sites, in units of the cell vectors:
Zr (0.356, 0.356, 0.941)  -0.11
Zr (0.366, 0.366, 0.550)  -0.15
Zr (0.635, 0.635, 0.442)  -0.06
Zr (0.083, 0.083, 0.734)  0.01
Zr (0.632, 0.632, 0.067)  -0.04
Zr (0.920, 0.920, 0.254)  -0.10
Co (0.234, 0.234, 0.254)  1.21
Co (0.778, 0.778, 0.738)  1.19
O (0.531, 0.531, 0.880)  0.00